Computed, not measured: a relaxed Pm2FeNiH6 crystal at the PBE level of DFT.

Results
DOS at the Fermi energy ... 6.71 states/eV/cell
Uncorrected energy ... -0.3532 Ry per atom

Structure (CIF):
```
data_Pm2FeNiH6
_space_group_name_H-M_alt 'C 1 2/m 1'
_space_group_IT_number 12
_cell_length_a 7.162
_cell_length_b 7.207
_cell_length_c 5.073
_cell_angle_alpha 90.00
_cell_angle_beta 134.74
_cell_angle_gamma 90.00
loop_
_space_group_symop_operation_xyz
'x,y,z'
'-x,-y,-z'
'-x,y,-z'
'x,-y,z'
'x+1/2,y+1/2,z'
'-x+1/2,-y+1/2,-z'
'-x+1/2,y+1/2,-z'
'x+1/2,-y+1/2,z'
loop_
_atom_site_label
_atom_site_type_symbol
_atom_site_fract_x
_atom_site_fract_y
_atom_site_fract_z
_atom_site_occupancy
Pm1 Pm 0.000 0.250 0.000 1
Fe1 Fe 0.000 0.000 0.500 1
Ni1 Ni 0.000 0.500 0.500 1
H1 H 0.000 0.239 0.500 1
H2 H 0.239 0.000 0.978 1
H3 H 0.240 0.000 0.500 1
```



Computed, not measured: a relaxed CsY2Ga crystal at the PBE level of DFT.

Results
DOS at the Fermi energy ... 8.49 states/eV/cell
Energy of formation from the pure elements ... 0.561 eV/atom
Uncorrected energy ... -0.2676 Ry per atom

Structure (CIF):
```
data_CsY2Ga
_space_group_name_H-M_alt 'I 41/a m d'
_space_group_IT_number 141
_cell_length_a 6.927
_cell_length_b 6.927
_cell_length_c 17.875
_cell_angle_alpha 90.00
_cell_angle_beta 90.00
_cell_angle_gamma 90.00
loop_
_space_group_symop_operation_xyz
'x,y,z'
'-x,-y,-z'
'-y+1/4,x+3/4,z+1/4'
'y+1/4,-x+3/4,-z+1/4'
'-x+1/2,-y,z+1/2'
'x+1/2,y,-z+1/2'
'y+1/4,-x+1/4,z+3/4'
'-y+1/4,x+1/4,-z+3/4'
'x,-y,-z'
'-x,y,z'
'-y+1/4,-x+1/4,-z+3/4'
'y+1/4,x+1/4,z+3/4'
'-x+1/2,y,-z+1/2'
'x+1/2,-y,z+1/2'
'y+1/4,x+3/4,-z+1/4'
'-y+1/4,-x+3/4,z+1/4'
'x+1/2,y+1/2,z+1/2'
'-x+1/2,-y+1/2,-z+1/2'
'-y+3/4,x+1/4,z+3/4'
'y+3/4,-x+1/4,-z+3/4'
'-x,-y+1/2,z'
'x,y+1/2,-z'
'y+3/4,-x+3/4,z+1/4'
'-y+3/4,x+3/4,-z+1/4'
'x+1/2,-y+1/2,-z+1/2'
'-x+1/2,y+1/2,z+1/2'
'-y+3/4,-x+3/4,-z+1/4'
'y+3/4,x+3/4,z+1/4'
'-x,y+1/2,-z'
'x,-y+1/2,z'
'y+3/4,x+1/4,-z+3/4'
'-y+3/4,-x+1/4,z+3/4'
loop_
_atom_site_label
_atom_site_type_symbol
_atom_site_fract_x
_atom_site_fract_y
_atom_site_fract_z
_atom_site_occupancy
Cs1 Cs 0.000 0.250 0.375 1
Y1 Y 0.000 0.000 0.000 1
Ga1 Ga 0.000 0.250 0.875 1
```